[1]
# CeDyTm3Sc, optimized geometry, DFT PBE
# Size of the total moment   4.13 μB per cell
# DFT formation energy   0.07 eV/atom
# Calculated volume   706.01 Å³/cell
# DOS(E_F)   1.884 states/eV/atom
data_CeDyTm3Sc
_cell_length_a 4.9075
_cell_length_b 14.6587
_cell_length_c 9.8143
_cell_angle_alpha 90.00
_cell_angle_beta 90.00
_cell_angle_gamma 90.00
_space_group_name_H-M_alt 'C m c m'
_space_group_IT_number 63
_space_group_name_Hall '-C 2c 2'
loop_
_atom_site_label
_atom_site_fract_x
_atom_site_fract_y
_atom_site_fract_z
_atom_site_occupancy
Ce1 0.0000 0.0015 0.2500 1
Dy1 0.0000 0.5000 0.0000 1
Tm1 0.0000 0.1662 0.0005 1
Tm2 0.0000 0.3305 0.2500 1
Sc1 0.0000 0.3328 0.7500 1

***

[2]
# MgPH2, optimized geometry, DFT PBE
# Size of the total moment   0.00 μB per cell
# Calculated volume   174.06 Å³/cell
# DOS(E_F)   0.223 states/eV/atom
# ΔE to the lowest computed polymorph   0.000 eV per atom
data_MgPH2
_cell_length_a 3.7402
_cell_length_b 3.7402
_cell_length_c 12.4428
_cell_angle_alpha 90.00
_cell_angle_beta 90.00
_cell_angle_gamma 90.00
_space_group_name_H-M_alt 'I -4 2 d'
_space_group_IT_number 122
_space_group_name_Hall 'I -4 2bw'
loop_
_atom_site_label
_atom_site_fract_x
_atom_site_fract_y
_atom_site_fract_z
_atom_site_occupancy
Mg1 0.0000 0.0000 0.0000 1
P1 0.0000 0.0000 0.5000 1
H1 0.0843 0.2500 0.6250 1